Entry 1:
Compound: V2SF
Source: the Alexandria database
Functional: GGA+U
Structure: optimized geometry

Computed properties:
SG: No. 225

Cell lengths 4.294, 4.294, 4.294 Å; angles 60.00, 60.00, 60.00 degrees
Fractional coordinates of all 4 atoms:
V1 0.250 0.250 0.250
V2 0.750 0.750 0.750
S1 0.500 0.500 0.500
F1 0.000 0.000 0.000



Entry 2:
Compound: VSF3
Source: the Alexandria database
Functional: GGA+U
Structure: optimized geometry

Computed properties:
SG: No. 221

Cell lengths 4.326, 4.326, 4.326 Å; angles 90.00, 90.00, 90.00 degrees
Fractional coordinates of all 5 atoms:
S1 0.000 0.000 0.000
F1 0.000 0.000 0.500
F2 0.000 0.500 0.000
F3 0.500 0.000 0.000
V1 0.500 0.500 0.500



Entry 3:
Compound: VSF3
Source: the Alexandria database
Functional: GGA+U
Structure: optimized geometry

Computed properties:
SG: No. 221

Cell lengths 4.115, 4.115, 4.115 Å; angles 90.00, 90.00, 90.00 degrees
Fractional coordinates of all 5 atoms:
F1 0.000 0.000 0.500
F2 0.000 0.500 0.000
F3 0.500 0.000 0.000
S1 0.500 0.500 0.500
V1 0.000 0.000 0.000



Entry 4:
Compound: VW2SF
Source: the Alexandria database
Functional: GGA+U
Structure: optimized geometry

Computed properties:
SG: No. 123

Cell lengths 4.586, 4.734, 4.586 Å; angles 90.00, 90.00, 90.00 degrees
Fractional coordinates of all 5 atoms:
W1 0.000 0.000 0.500
W2 0.500 0.000 0.000
F1 0.500 0.500 0.500
S1 0.000 0.000 0.000
V1 0.000 0.500 0.000



Entry 5:
Compound: VZnSF5
Source: the Alexandria database
Functional: GGA+U
Structure: optimized geometry

Computed properties:
SG: No. 2

Cell lengths 5.777, 7.253, 8.588 Å; angles 91.93, 104.81, 109.92 degrees
Fractional coordinates of all 16 atoms:
F1 0.699 0.881 0.154
F2 0.945 0.568 0.209
F3 0.181 0.789 0.997
F4 0.673 0.525 0.894
F5 0.523 0.862 0.832
F6 0.301 0.119 0.846
F7 0.819 0.211 0.003
F8 0.055 0.432 0.791
F9 0.327 0.475 0.106
F10 0.477 0.138 0.168
Zn1 0.665 0.635 0.253
Zn2 0.335 0.365 0.747
S1 0.345 0.377 0.483
S2 0.655 0.623 0.517
V1 0.500 0.000 0.000
V2 0.000 0.500 0.000



Entry 6:
Compound: WSF2
Source: the Alexandria database
Functional: GGA+U
Structure: optimized geometry

Computed properties:
SG: No. 166

Cell lengths 10.813, 10.813, 10.813 Å; angles 15.46, 15.46, 15.46 degrees
Fractional coordinates of all 4 atoms:
F1 0.942 0.942 0.942
F2 0.058 0.058 0.058
W1 0.000 0.000 0.000
S1 0.500 0.500 0.500



Entry 7:
Compound: WSF2
Source: the Alexandria database
Functional: GGA+U
Structure: optimized geometry

Computed properties:
SG: No. 122

Cell lengths 3.823, 3.823, 8.217 Å; angles 76.55, 76.55, 90.00 degrees
Fractional coordinates of all 8 atoms:
W1 0.000 0.000 0.000
W2 0.750 0.250 0.500
F1 0.726 0.125 0.250
F2 0.024 0.625 0.250
F3 0.875 0.976 0.750
F4 0.375 0.274 0.750
S1 0.500 0.500 0.000
S2 0.250 0.750 0.500



Entry 8:
Compound: WSF2
Source: the Alexandria database
Functional: GGA+U
Structure: optimized geometry

Computed properties:
SG: No. 225

Cell lengths 4.209, 4.209, 4.209 Å; angles 60.00, 60.00, 60.00 degrees
Fractional coordinates of all 4 atoms:
F1 0.750 0.750 0.750
F2 0.250 0.250 0.250
W1 0.500 0.500 0.500
S1 0.000 0.000 0.000



Entry 9:
Compound: WSF
Source: the Alexandria database
Functional: GGA+U
Structure: optimized geometry

Computed properties:
SG: No. 12

Cell lengths 3.042, 5.670, 7.477 Å; angles 64.99, 78.26, 74.44 degrees
Fractional coordinates of all 6 atoms:
F1 0.571 0.600 0.258
F2 0.429 0.400 0.742
S1 0.164 0.923 0.748
S2 0.836 0.077 0.252
W1 0.379 0.760 0.483
W2 0.621 0.240 0.517



Entry 10:
Compound: YWS2F
Source: the Alexandria database
Functional: GGA+U
Structure: optimized geometry

Computed properties:
SG: No. 123

Cell lengths 4.566, 5.744, 4.566 Å; angles 90.00, 90.00, 90.00 degrees
Fractional coordinates of all 5 atoms:
S1 0.500 0.000 0.000
S2 0.000 0.000 0.500
Y1 0.000 0.500 0.000
W1 0.000 0.000 0.000
F1 0.500 0.500 0.500



Entry 11:
Compound: ZnW2SF
Source: the Alexandria database
Functional: GGA+U
Structure: optimized geometry

Computed properties:
SG: No. 123

Cell lengths 4.442, 5.155, 4.442 Å; angles 90.00, 90.00, 90.00 degrees
Fractional coordinates of all 5 atoms:
W1 0.500 0.000 0.000
W2 0.000 0.000 0.500
S1 0.000 0.500 0.000
F1 0.000 0.000 0.000
Zn1 0.500 0.500 0.500



Total DFT energy (no corrections) readings, ordered: -22.35, -18.50, -24.52, -22.22, -79.43, -17.86, -36.92, -15.73, -30.83, -26.31, -17.65 eV/cell